[1]
A geometry-optimized SmHg2Sb structure. Source: Alexandria via LeMat-Bulk, functional PBE.

Summary:
DFT total energy, eV per atom: -2.87
Symmetry: P4/mmm (123)

a b c (Å): 5.1144 4.5074 4.5074
angles (deg): 90.00 90.00 90.00
Positions (direct):
1 Sm 0.5000 0.5000 0.5000
2 Hg 0.0000 0.5000 0.0000
3 Hg 0.0000 0.0000 0.5000
4 Sb 0.5000 0.0000 0.0000



[2]
A geometry-optimized Sm2HgSb structure. Source: Alexandria via LeMat-Bulk, functional PBE.

Summary:
Energy relative to the lowest polymorph listed for this composition, meV per atom: 51
DFT total energy, eV per atom: -4.19
Symmetry: P4/mmm (123)

a b c (Å): 3.9840 3.9840 7.0077
angles (deg): 90.00 90.00 90.00
Last column: magnetic moment on the atom in μB.
Positions (direct):
1 Sm 0.0000 0.0000 0.7556  0.16
2 Sm 0.0000 0.0000 0.2444  0.16
3 Sb 0.5000 0.5000 0.0000  -0.01
4 Hg 0.5000 0.5000 0.5000  0.01



[3]
A geometry-optimized Sm2HgSb structure. Source: Alexandria via LeMat-Bulk, functional PBE.

Summary:
Energy relative to the lowest polymorph listed for this composition, meV per atom: 108
DFT total energy, eV per atom: -4.13
Symmetry: R3m (160)

a b c (Å): 4.2742 4.2742 8.3282
angles (deg): 75.13 75.13 60.00
Positions (direct):
1 Sm 0.0780 0.0780 0.7659
2 Sm 0.2555 0.2555 0.2336
3 Sb 0.6673 0.6673 0.9980
4 Hg 0.4992 0.4992 0.5025



[4]
A geometry-optimized Sm2HgSb structure. Source: Alexandria via LeMat-Bulk, functional PBE.

Summary:
Energy relative to the lowest polymorph listed for this composition, meV per atom: 56
DFT total energy, eV per atom: -4.18
Symmetry: R-3m (166)

a b c (Å): 4.3425 4.3425 8.0518
angles (deg): 74.36 74.36 60.00
Positions (direct):
1 Hg 0.5000 0.5000 0.5000
2 Sb 0.0000 0.0000 0.0000
3 Sm 0.2541 0.2541 0.2378
4 Sm 0.7459 0.7459 0.7622



[5]
A geometry-optimized Sm2HgSb4 structure. Source: Alexandria via LeMat-Bulk, functional PBE.

Summary:
DFT total energy, eV per atom: -4.40
Symmetry: P-4m2 (115)

a b c (Å): 4.4036 4.4036 10.3940
angles (deg): 90.00 90.00 90.00
Positions (direct):
1 Sm 0.0000 0.5000 0.2613
2 Sm 0.5000 0.0000 0.7387
3 Hg 0.5000 0.5000 0.0000
4 Sb 0.5000 0.0000 0.1803
5 Sb 0.5000 0.5000 0.5000
6 Sb 0.0000 0.5000 0.8197
7 Sb 0.0000 0.0000 0.5000



[6]
A geometry-optimized Sm3HgSb structure. Source: Alexandria via LeMat-Bulk, functional PBE.

Summary:
DFT total energy, eV per atom: -3.94
Symmetry: Cmmm (65)

a b c (Å): 5.1262 7.9940 8.8937
angles (deg): 116.71 90.00 90.00
Last column: magnetic moment on the atom in μB.
Positions (direct):
1 Sb 0.0000 0.3663 0.7327  -0.01
2 Sb 0.0000 0.6337 0.2673  -0.01
3 Sm 0.0000 0.1663 0.3326  0.15
4 Sm 0.5000 0.5000 0.5000  0.19
5 Sm 0.5000 0.3206 0.0000  0.01
6 Sm 0.5000 0.6794 0.0000  0.01
7 Sm 0.0000 0.8337 0.6674  0.15
8 Sm 0.5000 0.0000 0.5000  0.19
9 Hg 0.5000 0.0890 0.1779  0.00
10 Hg 0.5000 0.9110 0.8221  0.00